Density functional theory data (GGA-PBE) for a relaxed HfVSb2 crystal.

Cell: 3.245 3.245 10.032 Å, 80.69 80.69 60.00°
Sites, in units of the cell vectors:
V  0.500  0.500  0.500
Sb  0.900  0.900  0.299
Sb  0.100  0.100  0.701
Hf  0.000  0.000  0.000

The calculation puts the relative energy among the computed polymorphs at 224 meV/atom. Its total energy is -6.64 eV per atom.

---

Density functional theory data (GGA-PBE) for a relaxed Hf4VSb crystal.

Cell: 5.524 8.060 7.347 Å, 114.95 101.02 109.69°
Sites, in units of the cell vectors:
Hf  0.636  0.071  0.360
Hf  0.942  0.801  0.168
Hf  0.224  0.289  0.360
Hf  0.364  0.929  0.640
Hf  0.776  0.711  0.640
Hf  0.058  0.199  0.832
Hf  0.726  0.367  0.168
Hf  0.274  0.633  0.832
Sb  0.369  0.619  0.237
Sb  0.631  0.381  0.763
V  0.750  0.000  0.000
V  0.250  0.000  0.000

Its total energy is -9.01 eV per atom.

---

Density functional theory data (GGA-PBE) for a relaxed HfV3Sb crystal.

Cell: 4.668 4.668 4.668 Å, 90.00 90.00 90.00°
Sites, in units of the cell vectors:
V  0.500  0.000  0.000
V  0.000  0.500  0.000
V  0.000  0.000  0.500
Hf  0.000  0.000  0.000
Sb  0.500  0.500  0.500

The calculation puts the relative energy among the computed polymorphs at 189 meV/atom. Its total energy is -6.84 eV per atom.

---

Density functional theory data (GGA-PBE) for a relaxed Hf2VSb crystal.

Cell: 3.342 6.968 7.450 Å, 90.00 102.89 90.00°
Sites, in units of the cell vectors:
Hf  0.498  0.696  0.856
Hf  0.712  0.642  0.285
Hf  0.712  0.196  0.285
Hf  0.498  0.141  0.856
V  0.114  0.919  0.090
V  0.095  0.419  0.052
Sb  0.893  0.419  0.645
Sb  0.317  0.919  0.497

The calculation puts the relative energy among the computed polymorphs at 16 meV/atom. Its total energy is -8.42 eV per atom.

---

Density functional theory data (GGA-PBE) for a relaxed Hf2V2Sb crystal.

Cell: 7.126 7.126 3.729 Å, 90.00 90.00 90.00°
Sites, in units of the cell vectors:
V  0.396  0.896  0.000
V  0.896  0.604  0.000
V  0.604  0.104  0.000
V  0.104  0.396  0.000
Sb  0.500  0.500  0.000
Sb  0.000  0.000  0.000
Hf  0.814  0.314  0.500
Hf  0.314  0.186  0.500
Hf  0.686  0.814  0.500
Hf  0.186  0.686  0.500

Its total energy is -8.50 eV per atom.

---

Density functional theory data (GGA-PBE) for a relaxed Hf2VSb crystal.

Cell: 4.142 4.142 10.649 Å, 78.79 78.79 90.00°
Sites, in units of the cell vectors:
Hf  0.125  0.625  0.250
Hf  0.375  0.375  0.750
Hf  0.625  0.125  0.250
Hf  0.875  0.875  0.750
Sb  0.000  0.000  0.000
Sb  0.750  0.250  0.500
V  0.500  0.500  0.000
V  0.250  0.750  0.500

The calculation puts the relative energy among the computed polymorphs at 563 meV/atom. Its total energy is -7.88 eV per atom.

---

Density functional theory data (GGA-PBE) for a relaxed HfVSb4 crystal.

Cell: 3.166 8.270 6.557 Å, 120.66 90.00 101.04°
Sites, in units of the cell vectors:
Sb  0.642  0.283  0.005
Sb  0.358  0.717  0.995
Sb  0.850  0.700  0.510
Sb  0.150  0.300  0.490
Hf  0.500  0.000  0.500
V  0.000  0.000  0.000

Its total energy is -5.95 eV per atom.

---

Density functional theory data (GGA-PBE) for a relaxed HfV3Sb crystal.

Cell: 4.761 4.761 4.761 Å, 90.00 90.00 90.00°
Sites, in units of the cell vectors:
V  0.000  0.500  0.000
V  0.000  0.000  0.500
V  0.500  0.000  0.000
Hf  0.500  0.500  0.500
Sb  0.000  0.000  0.000

The calculation puts the relative energy among the computed polymorphs at 0 meV/atom. Its total energy is -7.03 eV per atom.

---

| no. | mass density (Mg/m³) | formation energy from raw total energies (meV/atom) |
| --- | --- | --- |
| 1 | 8.7 | 193 |
| 2 | 11.5 | -171 |
| 3 | 7.4 | 1442 |
| 4 | 10.4 | -138 |
| 5 | 10.2 | -42 |
| 6 | 10.0 | 409 |
| 7 | 8.3 | -19 |
| 8 | 7.0 | 1254 |